1.
Below is a geometry-optimized La5Nd3Ho2 structure, with properties calculated at the PBE-GGA level.

Summary:
The calculation puts the total magnetic moment at 0.00 μB/f.u. The density of states at the Fermi level comes out at 33.21 states/eV per cell. The theoretical density comes out at 6.8 g cm⁻³. The crystal system is monoclinic. For the volume, the calculation gives 35.80 Å³/atom. As for the formation energy from the elements: 0.146 eV per atom.

Cell lengths 10.245, 10.265, 11.448 Å; angles 129.55, 129.51, 65.10 degrees
Sites, in units of the cell vectors:
Ho 0.473 0.721 0.754
Ho 0.781 0.033 0.754
Ho 0.527 0.279 0.246
Ho 0.219 0.967 0.246
La 0.026 0.776 0.553
La 0.625 0.879 0.246
La 0.273 0.523 0.046
La 0.121 0.367 0.246
La 0.520 0.270 0.540
La 0.480 0.730 0.460
La 0.375 0.121 0.754
La 0.879 0.633 0.754
La 0.727 0.477 0.954
La 0.974 0.224 0.447
Nd 0.719 0.473 0.250
Nd 0.769 0.019 0.037
Nd 0.231 0.981 0.963
Nd 0.969 0.223 0.750
Nd 0.031 0.777 0.250
Nd 0.281 0.527 0.750

2.
Below is a geometry-optimized LaNdHo6 structure, with properties calculated at the PBE-GGA level.

Summary:
The calculation puts the total magnetic moment at 0.00 μB/f.u. The density of states at the Fermi level comes out at 11.66 states/eV per cell. Its distance to the lowest polymorph of the same formula is 340 meV per atom. The theoretical density comes out at 7.4 g cm⁻³. The crystal system is monoclinic. For the volume, the calculation gives 35.69 Å³/atom. As for the formation energy from the elements: 0.369 eV per atom.

Cell lengths 6.171, 6.171, 9.365 Å; angles 85.87, 117.35, 114.33 degrees
Sites, in units of the cell vectors:
Nd 0.000 0.000 0.000
Ho 0.643 0.542 0.702
Ho 0.702 0.377 0.079
Ho 0.357 0.458 0.298
Ho 0.160 0.059 0.702
Ho 0.298 0.623 0.921
Ho 0.840 0.941 0.298
La 0.500 0.000 0.500

3.
Below is a geometry-optimized La4Nd6Ho structure, with properties calculated at the PBE-GGA level.

Summary:
The calculation puts the total magnetic moment at 0.00 μB/f.u. The density of states at the Fermi level comes out at 17.66 states/eV per cell. Its distance to the lowest polymorph of the same formula is 17 meV per atom. The theoretical density comes out at 6.5 g cm⁻³. The crystal system is tetragonal. For the volume, the calculation gives 36.69 Å³/atom. As for the formation energy from the elements: 0.262 eV per atom.

Cell lengths 9.688, 9.688, 9.688 Å; angles 61.00, 137.94, 137.94 degrees
Sites, in units of the cell vectors:
La 0.000 0.633 0.008
La 0.375 0.367 0.367
La 0.625 0.992 0.992
La 0.000 0.008 0.633
Nd 0.000 0.781 0.445
Nd 0.000 0.445 0.781
Nd 0.664 0.219 0.219
Nd 0.336 0.555 0.555
Nd 0.500 0.500 0.000
Nd 0.500 0.000 0.500
Ho 0.000 0.000 0.000

4.
Below is a geometry-optimized La2NdHo structure, with properties calculated at the PBE-GGA level.

Summary:
The calculation puts the total magnetic moment at 0.08 μB/f.u. The density of states at the Fermi level comes out at 5.85 states/eV per cell. Its distance to the lowest polymorph of the same formula is 41 meV per atom. The theoretical density comes out at 7.0 g cm⁻³. The crystal system is tetragonal. For the volume, the calculation gives 34.83 Å³/atom. As for the formation energy from the elements: 0.054 eV per atom.

Cell lengths 5.138, 5.207, 5.207 Å; angles 90.00, 90.00, 90.00 degrees
Sites, in units of the cell vectors:
La 0.000 0.500 0.000
La 0.000 0.000 0.500
Nd 0.500 0.000 0.000
Ho 0.500 0.500 0.500

5.
Below is a geometry-optimized LaNd2Ho7 structure, with properties calculated at the PBE-GGA level.

Summary:
The calculation puts the total magnetic moment at 0.00 μB/f.u. The density of states at the Fermi level comes out at 13.51 states/eV per cell. Its distance to the lowest polymorph of the same formula is 0 meV per atom. The theoretical density comes out at 8.1 g cm⁻³. The crystal system is triclinic. For the volume, the calculation gives 32.39 Å³/atom. As for the formation energy from the elements: 0.021 eV per atom.

Cell lengths 6.192, 8.007, 7.993 Å; angles 89.91, 104.88, 121.09 degrees
Sites, in units of the cell vectors:
Ho 0.500 0.500 0.000
Ho 0.500 0.101 0.800
Ho 0.500 0.899 0.200
Ho 0.999 0.401 0.200
Ho 0.001 0.599 0.800
Ho 0.000 0.201 0.600
Ho 0.000 0.799 0.400
Nd 0.501 0.300 0.400
Nd 0.499 0.700 0.600
La 0.000 0.000 0.000

6.
Below is a geometry-optimized La2Nd4Ho3 structure, with properties calculated at the PBE-GGA level.

Summary:
The calculation puts the total magnetic moment at 0.00 μB/f.u. The density of states at the Fermi level comes out at 14.03 states/eV per cell. Its distance to the lowest polymorph of the same formula is 0 meV per atom. The theoretical density comes out at 7.3 g cm⁻³. The crystal system is monoclinic. For the volume, the calculation gives 34.18 Å³/atom. As for the formation energy from the elements: 0.044 eV per atom.

Cell lengths 3.599, 9.912, 8.935 Å; angles 80.37, 101.62, 90.00 degrees
Sites, in units of the cell vectors:
Nd 0.501 0.667 0.002
Nd 0.499 0.333 0.998
Nd 0.665 0.780 0.330
Nd 0.335 0.220 0.670
Ho 0.161 0.462 0.323
Ho 0.839 0.538 0.677
Ho 0.000 0.000 0.000
La 0.673 0.126 0.346
La 0.327 0.874 0.654

7.
Below is a geometry-optimized LaNd2Ho6 structure, with properties calculated at the PBE-GGA level.

Summary:
The calculation puts the total magnetic moment at 0.00 μB/f.u. The density of states at the Fermi level comes out at 14.40 states/eV per cell. Its distance to the lowest polymorph of the same formula is 0 meV per atom. The theoretical density comes out at 8.0 g cm⁻³. The crystal system is trigonal. For the volume, the calculation gives 32.78 Å³/atom. As for the formation energy from the elements: 0.072 eV per atom.

Cell lengths 3.550, 9.795, 9.795 Å; angles 120.00, 90.00, 90.00 degrees
Sites, in units of the cell vectors:
Nd 0.263 0.667 0.333
Nd 0.737 0.333 0.667
Ho 0.769 0.669 0.022
Ho 0.231 0.022 0.353
Ho 0.231 0.331 0.978
Ho 0.769 0.978 0.647
Ho 0.231 0.647 0.669
Ho 0.769 0.353 0.331
La 0.500 0.000 0.000

8.
Below is a geometry-optimized La5Nd4Ho4 structure, with properties calculated at the PBE-GGA level.

Summary:
The calculation puts the total magnetic moment at 0.00 μB/f.u. The density of states at the Fermi level comes out at 21.74 states/eV per cell. The theoretical density comes out at 7.1 g cm⁻³. The crystal system is tetragonal. For the volume, the calculation gives 34.71 Å³/atom. As for the formation energy from the elements: 0.025 eV per atom.

Cell lengths 5.162, 9.698, 9.702 Å; angles 85.92, 74.57, 74.57 degrees
Sites, in units of the cell vectors:
La 0.308 0.151 0.232
La 0.541 0.768 0.151
La 0.692 0.849 0.768
La 0.000 0.000 0.000
La 0.459 0.232 0.849
Ho 0.155 0.078 0.612
Ho 0.845 0.922 0.388
Ho 0.233 0.612 0.922
Ho 0.767 0.388 0.078
Nd 0.384 0.693 0.539
Nd 0.077 0.539 0.307
Nd 0.616 0.307 0.461
Nd 0.923 0.461 0.693

9.
Below is a geometry-optimized LaNd3Ho8 structure, with properties calculated at the PBE-GGA level.

Summary:
The calculation puts the total magnetic moment at 0.00 μB/f.u. The density of states at the Fermi level comes out at 17.32 states/eV per cell. The theoretical density comes out at 7.3 g cm⁻³. The crystal system is tetragonal. For the volume, the calculation gives 35.99 Å³/atom. As for the formation energy from the elements: 0.625 eV per atom.

Cell lengths 8.378, 8.378, 8.378 Å; angles 95.03, 117.14, 117.14 degrees
Sites, in units of the cell vectors:
Ho 0.000 0.625 0.875
Ho 0.750 0.125 0.125
Ho 0.000 0.753 0.251
Ho 0.000 0.251 0.753
Ho 0.498 0.247 0.247
Ho 0.250 0.375 0.375
Ho 0.502 0.749 0.749
Ho 0.000 0.875 0.625
Nd 0.500 0.750 0.250
Nd 0.500 0.250 0.750
Nd 0.000 0.500 0.500
La 0.000 0.000 0.000

10.
Below is a geometry-optimized La15NdHo4 structure, with properties calculated at the PBE-GGA level.

Summary:
The calculation puts the total magnetic moment at 0.00 μB/f.u. The density of states at the Fermi level comes out at 28.43 states/eV per cell. The theoretical density comes out at 6.8 g cm⁻³. The crystal system is tetragonal. For the volume, the calculation gives 35.42 Å³/atom. As for the formation energy from the elements: 0.009 eV per atom.

Cell lengths 5.211, 5.211, 26.086 Å; angles 90.00, 90.00, 90.00 degrees
Sites, in units of the cell vectors:
La 0.500 0.000 0.101
La 0.000 0.500 0.500
La 0.500 0.000 0.699
La 0.500 0.500 0.600
La 0.500 0.500 0.201
La 0.000 0.500 0.301
La 0.500 0.500 0.400
La 0.500 0.500 0.799
La 0.000 0.500 0.101
La 0.500 0.000 0.301
La 0.500 0.000 0.500
La 0.000 0.500 0.699
La 0.500 0.000 0.899
La 0.000 0.500 0.899
La 0.500 0.500 0.000
Ho 0.000 0.000 0.600
Ho 0.000 0.000 0.201
Ho 0.000 0.000 0.799
Ho 0.000 0.000 0.400
Nd 0.000 0.000 0.000

11.
Below is a geometry-optimized LaNd4Ho structure, with properties calculated at the PBE-GGA level.

Summary:
The calculation puts the total magnetic moment at 0.00 μB/f.u. The density of states at the Fermi level comes out at 11.34 states/eV per cell. Its distance to the lowest polymorph of the same formula is 154 meV per atom. The theoretical density comes out at 6.9 g cm⁻³. The crystal system is monoclinic. For the volume, the calculation gives 35.53 Å³/atom. As for the formation energy from the elements: 0.174 eV per atom.

Cell lengths 3.493, 6.235, 10.347 Å; angles 88.61, 80.28, 73.73 degrees
Sites, in units of the cell vectors:
Nd 0.655 0.537 0.153
Nd 0.845 0.968 0.341
Nd 0.155 0.032 0.659
Nd 0.345 0.463 0.847
Ho 0.000 0.000 0.000
La 0.500 0.500 0.500

12.
Below is a geometry-optimized La3Nd7Ho structure, with properties calculated at the PBE-GGA level.

Summary:
The calculation puts the total magnetic moment at 0.00 μB/f.u. The density of states at the Fermi level comes out at 16.46 states/eV per cell. Its distance to the lowest polymorph of the same formula is 0 meV per atom. The theoretical density comes out at 6.6 g cm⁻³. The crystal system is monoclinic. For the volume, the calculation gives 36.66 Å³/atom. As for the formation energy from the elements: 0.216 eV per atom.

Cell lengths 6.568, 7.884, 7.884 Å; angles 82.07, 86.83, 86.83 degrees
Sites, in units of the cell vectors:
Nd 0.786 0.239 0.239
Nd 0.214 0.761 0.761
Nd 0.738 0.912 0.569
Nd 0.738 0.569 0.912
Nd 0.262 0.088 0.431
Nd 0.262 0.431 0.088
Nd 0.000 0.500 0.500
La 0.000 0.174 0.826
La 0.000 0.826 0.174
La 0.500 0.000 0.000
Ho 0.500 0.500 0.500